Entry 1:
DFT (PBE) results for crystalline Ta3FeW at its relaxed geometry.

Unit cell a=4.527 b=4.527 c=4.527 alpha=90.00 beta=90.00 gamma=90.00
Fractional positions:
Ta: 0.000 0.000 0.500
Ta: 0.500 0.000 0.000
Ta: 0.000 0.500 0.000
Fe: 0.000 0.000 0.000
W: 0.500 0.500 0.500

For the volume, the calculation gives 92.8 Å³/cell. The formation energy is 969 meV/atom. The total energy comes out at -10.4257 eV/atom. As for the crystal system: cubic. The calculation puts the energy relative to the lowest polymorph listed for this composition at 0 meV/atom. As for the total moment: 0.0 μB per formula unit.

=====

Entry 2:
DFT (PBE) results for crystalline TaFeW at its relaxed geometry.

Unit cell a=4.953 b=4.926 c=8.883 alpha=81.94 beta=73.81 gamma=59.82
Fractional positions:
Fe: 0.122 0.000 0.756
Fe: 0.872 0.500 0.256
Fe: 0.878 0.000 0.244
Fe: 0.628 0.500 0.744
Ta: 0.171 0.657 0.000
Ta: 0.921 0.157 0.500
Ta: 0.579 0.843 0.500
Ta: 0.829 0.343 0.000
W: 0.419 0.000 0.161
W: 0.169 0.500 0.661
W: 0.331 0.500 0.339
W: 0.581 0.000 0.839

For the volume, the calculation gives 179.9 Å³/cell. The formation energy is -16 meV/atom. The total energy comes out at -11.1053 eV/atom. As for the crystal system: orthorhombic. The calculation puts the energy relative to the lowest polymorph listed for this composition at 0 meV/atom. As for the total moment: 0.0 μB per formula unit.

=====

Entry 3:
DFT (PBE) results for crystalline Ta6FeW5 at its relaxed geometry.

Unit cell a=4.547 b=6.439 c=7.887 alpha=114.09 beta=106.67 gamma=90.00
Fractional positions:
W: 0.666 0.666 0.332
W: 0.334 0.834 0.668
W: 0.334 0.334 0.668
W: 0.666 0.166 0.332
W: 0.000 0.500 0.000
Ta: 0.835 0.587 0.670
Ta: 0.500 0.246 0.000
Ta: 0.165 0.413 0.330
Ta: 0.835 0.083 0.670
Ta: 0.165 0.917 0.330
Ta: 0.500 0.754 0.000
Fe: 0.000 0.000 0.000

For the volume, the calculation gives 200.1 Å³/cell. The formation energy is -100 meV/atom. The total energy comes out at -12.1291 eV/atom. As for the crystal system: monoclinic. As for the total moment: 0.0 μB per formula unit.